(1)
# Ho3ErSc2 | the Alexandria database | PBE | relaxed
data_Ho3ErSc2
_chemical_formula_sum 'Ho12 Er4 Sc8'
_cell_length_a 22.475
_cell_length_b 3.366
_cell_length_c 9.813
_cell_angle_alpha 90.00
_cell_angle_beta 107.94
_cell_angle_gamma 90.00
_space_group_name_H-M_alt 'C 1 2/m 1'
_space_group_IT_number 12
_space_group_name_Hall '-C 2y'
loop_
_atom_site_label
_atom_site_type_symbol
_atom_site_fract_x
_atom_site_fract_y
_atom_site_fract_z
Ho1 Ho 0.059 0.000 0.432
Ho2 Ho 0.070 0.500 0.773
Ho3 Ho 0.197 0.000 0.708
Er1 Er 0.186 0.000 0.043
Sc1 Sc 0.072 0.500 0.137
Sc2 Sc 0.192 0.000 0.372
# formation enthalpy at 0 K = 0.89 eV/f.u.
# relative energy among the computed polymorphs = 0 meV per atom

(2)
# TaAg2Au | the Alexandria database | PBE | relaxed
data_TaAg2Au
_chemical_formula_sum 'Ta2 Ag4 Au2'
_cell_length_a 9.855
_cell_length_b 2.844
_cell_length_c 5.086
_cell_angle_alpha 90.00
_cell_angle_beta 97.32
_cell_angle_gamma 90.00
_space_group_name_H-M_alt 'C 1 2/m 1'
_space_group_IT_number 12
_space_group_name_Hall '-C 2y'
loop_
_atom_site_label
_atom_site_type_symbol
_atom_site_fract_x
_atom_site_fract_y
_atom_site_fract_z
Ta1 Ta 0.000 0.000 0.000
Ag1 Ag 0.248 0.500 0.244
Au1 Au 0.000 0.500 0.500
# formation enthalpy at 0 K = 0.70 eV/f.u.
# relative energy among the computed polymorphs = 83 meV per atom

(3)
# Li3CN2 | the Alexandria database | PBE | relaxed
data_Li3CN2
_chemical_formula_sum 'Li12 C4 N8'
_cell_length_a 5.040
_cell_length_b 6.828
_cell_length_c 6.848
_cell_angle_alpha 90.00
_cell_angle_beta 112.18
_cell_angle_gamma 90.00
_space_group_name_H-M_alt 'P 1 21/c 1'
_space_group_IT_number 14
_space_group_name_Hall '-P 2ybc'
loop_
_atom_site_label
_atom_site_type_symbol
_atom_site_fract_x
_atom_site_fract_y
_atom_site_fract_z
Li1 Li 0.246 0.197 0.177
Li2 Li 0.252 0.514 0.372
Li3 Li 0.253 0.527 0.996
C1 C 0.160 0.638 0.632
N1 N 0.001 0.710 0.129
N2 N 0.426 0.576 0.721
# formation energy without anion corrections = -2.5 eV per formula unit

(4)
# CeYTm2 | the Alexandria database | PBE | relaxed
data_CeYTm2
_chemical_formula_sum 'Ce1 Y1 Tm2'
_cell_length_a 3.515
_cell_length_b 3.515
_cell_length_c 9.879
_cell_angle_alpha 90.00
_cell_angle_beta 90.00
_cell_angle_gamma 90.00
_space_group_name_H-M_alt 'P 4/m m m'
_space_group_IT_number 123
_space_group_name_Hall '-P 4 2'
loop_
_atom_site_label
_atom_site_type_symbol
_atom_site_fract_x
_atom_site_fract_y
_atom_site_fract_z
Ce1 Ce 0.000 0.000 0.000
Y1 Y 0.000 0.000 0.500
Tm1 Tm 0.500 0.500 0.244
# formation enthalpy at 0 K = 0.26 eV/f.u.
# relative energy among the computed polymorphs = 38 meV per atom

Number 1: DOS at the Fermi energy 1.8081 states/eV/atom. Number 2: DOS at the Fermi energy 0.5423 states/eV/atom. Number 3: DOS at the Fermi energy 0.0016 states/eV/atom. Number 4: DOS at the Fermi energy 2.0512 states/eV/atom.